(1)
Computed, not measured: a relaxed Ag6RhF8 crystal at the GGA-PBE level of DFT.

a = 6.6651 Å, b = 6.6651 Å, c = 6.6651 Å
α = 63.82°, β = 63.82°, γ = 63.82°
Fractional coordinates of all 15 atoms:
1 Ag 0.1428 0.5683 0.5785
2 Ag 0.4215 0.8572 0.4317
3 Ag 0.4317 0.4215 0.8572
4 Ag 0.5683 0.5785 0.1428
5 Ag 0.5785 0.1428 0.5683
6 Ag 0.8572 0.4317 0.4215
7 Rh 0.0000 0.0000 0.0000
8 F 0.0451 0.0544 0.6666
9 F 0.0544 0.6666 0.0451
10 F 0.3158 0.3158 0.3158
11 F 0.3334 0.9549 0.9456
12 F 0.6666 0.0451 0.0544
13 F 0.6842 0.6842 0.6842
14 F 0.9456 0.3334 0.9549
15 F 0.9549 0.9456 0.3334

Summary:
ΔE_f (raw) = -1.03 eV/atom
VASP energy = -54.88 eV/cell
density = 6.6 g cm⁻³
M_tot = 0.0 μB per formula unit
crystal system = trigonal


(2)
Computed, not measured: a relaxed KHg2Ru crystal at the GGA-PBE level of DFT.

a = 4.3248 Å, b = 4.3248 Å, c = 9.6416 Å
α = 90.00°, β = 90.00°, γ = 90.00°
Fractional coordinates of all 8 atoms:
1 K 0.0000 0.0000 0.0000
2 K 0.5000 0.5000 0.5000
3 Hg 0.0000 0.0000 0.5000
4 Hg 0.0000 0.5000 0.2500
5 Hg 0.5000 0.0000 0.7500
6 Hg 0.5000 0.5000 0.0000
7 Ru 0.0000 0.5000 0.7500
8 Ru 0.5000 0.0000 0.2500

Summary:
VASP energy = -16.46 eV/cell
density = 10.0 g cm⁻³
M_tot = 0.9 μB per formula unit
crystal system = tetragonal
DFT formation energy = 0.686 eV/atom


(3)
Computed, not measured: a relaxed Zr5In2H2 crystal at the GGA-PBE level of DFT.

a = 5.7049 Å, b = 5.7049 Å, c = 7.3072 Å
α = 95.26°, β = 95.26°, γ = 43.16°
Fractional coordinates of all 9 atoms:
1 Zr 0.0000 0.0000 0.0000
2 Zr 0.1419 0.1419 0.4292
3 Zr 0.2834 0.2834 0.8534
4 Zr 0.7166 0.7166 0.1466
5 Zr 0.8581 0.8581 0.5708
6 In 0.4303 0.4303 0.2814
7 In 0.5697 0.5697 0.7186
8 H 0.1779 0.1779 0.1344
9 H 0.8221 0.8221 0.8656

Summary:
VASP energy = -57.91 eV/cell
density = 7.1 g cm⁻³
M_tot = 0.0 μB per formula unit
crystal system = monoclinic